The following is a GGA-PBE calculation of an optimized crystal structure of Tl2SiCl, from Alexandria.

Energy relative to the elements, uncorrected: 0.250 eV/atom
Space group: F-43m, No. 216
Distance to the lowest polymorph of the same formula: 315.4 meV per atom
Magnetization: 0.000 μB/cell
Total energy: -2.750 eV/atom

The structure in CIF format:
```
data_Tl2SiCl
_cell_length_a 5.238
_cell_length_b 5.238
_cell_length_c 5.238
_cell_angle_alpha 60.00
_cell_angle_beta 60.00
_cell_angle_gamma 60.00
_space_group_name_H-M_alt 'P 1'
_space_group_IT_number 1
_space_group_name_Hall 'P 1'
loop_
_atom_site_label
_atom_site_fract_x
_atom_site_fract_y
_atom_site_fract_z
_atom_site_occupancy
Cl1 0.500 0.500 0.500 1
Si1 0.750 0.750 0.750 1
Tl1 0.000 0.000 0.000 1
Tl2 0.250 0.250 0.250 1
```

The following is a GGA-PBE calculation of an optimized crystal structure of TlSiCl2, from Alexandria.

Energy relative to the elements, uncorrected: -0.329 eV/atom
Space group: Pmmm, No. 47
Distance to the lowest polymorph of the same formula: 37.9 meV per atom
Magnetization: 0.000 μB/cell
Total energy: -3.199 eV/atom

The structure in CIF format:
```
data_TlSiCl2
_cell_length_a 3.895
_cell_length_b 3.448
_cell_length_c 7.691
_cell_angle_alpha 89.99
_cell_angle_beta 90.00
_cell_angle_gamma 90.00
_space_group_name_H-M_alt 'P 1'
_space_group_IT_number 1
_space_group_name_Hall 'P 1'
loop_
_atom_site_label
_atom_site_fract_x
_atom_site_fract_y
_atom_site_fract_z
_atom_site_occupancy
Cl1 0.000 0.250 0.015 1
Cl2 0.000 0.250 0.485 1
Si1 0.500 0.250 0.250 1
Tl1 0.500 0.750 0.750 1
```

The following is a GGA-PBE calculation of an optimized crystal structure of TlSi2Cl, from Alexandria.

Energy relative to the elements, uncorrected: 0.397 eV/atom
Space group: Pmmm, No. 47
Distance to the lowest polymorph of the same formula: 503.8 meV per atom
Magnetization: 0.000 μB/cell
Total energy: -3.367 eV/atom

The structure in CIF format:
```
data_TlSi2Cl
_cell_length_a 3.181
_cell_length_b 5.079
_cell_length_c 5.287
_cell_angle_alpha 90.00
_cell_angle_beta 90.00
_cell_angle_gamma 90.00
_space_group_name_H-M_alt 'P 1'
_space_group_IT_number 1
_space_group_name_Hall 'P 1'
loop_
_atom_site_label
_atom_site_fract_x
_atom_site_fract_y
_atom_site_fract_z
_atom_site_occupancy
Cl1 0.000 0.500 0.500 1
Si1 0.000 0.000 0.000 1
Si2 0.500 0.500 0.000 1
Tl1 0.500 0.000 0.500 1
```

The following is a GGA-PBE calculation of an optimized crystal structure of TlSiCl2, from Alexandria.

Energy relative to the elements, uncorrected: -0.177 eV/atom
Space group: Cmm2, No. 35
Distance to the lowest polymorph of the same formula: 189.3 meV per atom
Magnetization: 0.141 μB/cell
Total energy: -3.048 eV/atom

The structure in CIF format:
```
data_TlSiCl2
_cell_length_a 3.866
_cell_length_b 3.866
_cell_length_c 9.118
_cell_angle_alpha 90.00
_cell_angle_beta 90.00
_cell_angle_gamma 121.02
_space_group_name_H-M_alt 'P 1'
_space_group_IT_number 1
_space_group_name_Hall 'P 1'
loop_
_atom_site_label
_atom_site_fract_x
_atom_site_fract_y
_atom_site_fract_z
_atom_site_occupancy
Cl1 0.000 0.000 0.952 1
Cl2 0.500 0.500 0.322 1
Si1 0.000 0.000 0.487 1
Tl1 0.500 0.500 0.740 1
```

The following is a GGA-PBE calculation of an optimized crystal structure of TlSiCl2, from Alexandria.

Energy relative to the elements, uncorrected: -0.066 eV/atom
Space group: Pmmm, No. 47
Distance to the lowest polymorph of the same formula: 301.0 meV per atom
Magnetization: 0.051 μB/cell
Total energy: -2.936 eV/atom

The structure in CIF format:
```
data_TlSiCl2
_cell_length_a 3.715
_cell_length_b 6.015
_cell_length_c 4.467
_cell_angle_alpha 90.00
_cell_angle_beta 90.00
_cell_angle_gamma 90.00
_space_group_name_H-M_alt 'P 1'
_space_group_IT_number 1
_space_group_name_Hall 'P 1'
loop_
_atom_site_label
_atom_site_fract_x
_atom_site_fract_y
_atom_site_fract_z
_atom_site_occupancy
Cl1 0.000 0.000 0.000 1
Cl2 0.500 0.500 0.000 1
Si1 0.500 0.000 0.500 1
Tl1 0.000 0.500 0.500 1
```

The following is a GGA-PBE calculation of an optimized crystal structure of TlSi2Cl, from Alexandria.

Energy relative to the elements, uncorrected: 0.288 eV/atom
Space group: Imm2, No. 44
Distance to the lowest polymorph of the same formula: 394.2 meV per atom
Magnetization: 0.000 μB/cell
Total energy: -3.477 eV/atom

The structure in CIF format:
```
data_TlSi2Cl
_cell_length_a 6.455
_cell_length_b 6.455
_cell_length_c 6.455
_cell_angle_alpha 150.44
_cell_angle_beta 136.74
_cell_angle_gamma 53.27
_space_group_name_H-M_alt 'P 1'
_space_group_IT_number 1
_space_group_name_Hall 'P 1'
loop_
_atom_site_label
_atom_site_fract_x
_atom_site_fract_y
_atom_site_fract_z
_atom_site_occupancy
Cl1 0.254 0.754 0.500 1
Si1 0.935 0.935 0.000 1
Si2 0.774 0.274 0.500 1
Tl1 0.537 0.537 0.000 1
```

What is the distance to the lowest polymorph of the same formula in the third record? 503.8 meV per atom

distance to the lowest polymorph of the same formula of number 3 (TlSi2Cl)? 503.8 meV per atom

What is the magnetization in the fifth record? 0.051 μB/cell